# 1
Density functional theory data (PBE-GGA) for crystalline Ac2In6Pt3 at its relaxed geometry.

Computed properties:
E_form: -60.5 kJ/mol of atoms
M_tot: 0.00 μB/cell

a = 4.577 Å, b = 8.411 Å, c = 8.411 Å
α = 120.00°, β = 90.00°, γ = 90.00°
Fractional positions:
Pt1 0.500 0.377 0.377
In1 0.500 0.303 0.000
Pt2 0.500 0.000 0.623
Pt3 0.500 0.623 0.000
In2 0.500 0.000 0.303
In3 0.500 0.697 0.697
In4 0.000 0.202 0.202
In5 0.000 0.000 0.798
Ac1 0.000 0.333 0.667
Ac2 0.000 0.667 0.333
In6 0.000 0.798 0.000



# 2
Density functional theory data (PBE-GGA) for crystalline Pr2ErGa2Cu2 at its relaxed geometry.

Computed properties:
E_form: -37.6 kJ/mol of atoms
M_tot: 0.31 μB/cell

a = 4.395 Å, b = 4.395 Å, c = 9.853 Å
α = 77.11°, β = 77.11°, γ = 60.00°
Fractional positions:
Ga1 0.272 0.272 0.183
Pr1 0.122 0.122 0.634
Cu1 0.388 0.388 0.837
Cu2 0.612 0.612 0.163
Ga2 0.728 0.728 0.817
Pr2 0.878 0.878 0.366
Er1 0.000 0.000 0.000



# 3
Density functional theory data (PBE-GGA) for crystalline La3Sm3Tm5 at its relaxed geometry.

Computed properties:
E_form: 69.6 kJ/mol of atoms
M_tot: 0.00 μB/cell

a = 5.240 Å, b = 9.741 Å, c = 9.741 Å
α = 120.00°, β = 90.00°, γ = 90.00°
Fractional positions:
Sm1 0.000 0.567 0.567
Tm1 0.500 0.000 0.642
Tm2 0.500 0.333 0.667
Tm3 0.500 0.642 0.000
La1 0.500 0.733 0.733
Tm4 0.500 0.667 0.333
La2 0.500 0.000 0.267
Sm2 0.000 0.000 0.433
Tm5 0.500 0.358 0.358
Sm3 0.000 0.433 0.000
La3 0.500 0.267 0.000



# 4
Density functional theory data (PBE-GGA) for crystalline YGePd2Br at its relaxed geometry.

Computed properties:
formation energy (no corrections): -244 meV/atom
distance to the lowest polymorph of the same formula: 0 kJ/mol of formula units
M_tot: 0.00 μB/cell

a = 4.665 Å, b = 5.671 Å, c = 4.665 Å
α = 90.00°, β = 90.00°, γ = 90.00°
Fractional positions:
Y1 0.000 0.500 0.000
Pd1 0.500 0.000 0.000
Ge1 0.000 0.000 0.000
Pd2 0.000 0.000 0.500
Br1 0.500 0.500 0.500



# 5
Density functional theory data (PBE-GGA) for crystalline RbMg2Br5 at its relaxed geometry.

Computed properties:
formation energy (no corrections): -1497 meV/atom
M_tot: 0.00 μB/cell

a = 5.691 Å, b = 6.921 Å, c = 13.671 Å
α = 90.00°, β = 90.00°, γ = 114.28°
Fractional positions:
Br1 0.050 0.101 0.118
Br2 0.050 0.101 0.382
Br3 0.212 0.423 0.750
Mg1 0.145 0.290 0.944
Br4 0.788 0.577 0.250
Br5 0.334 0.668 0.467
Br6 0.666 0.332 0.533
Rb1 0.495 0.991 0.750
Mg2 0.145 0.290 0.556
Br7 0.666 0.332 0.967
Mg3 0.855 0.710 0.444
Rb2 0.505 0.009 0.250
Br8 0.950 0.899 0.618
Mg4 0.855 0.710 0.056
Br9 0.950 0.899 0.882
Br10 0.334 0.668 0.033



# 6
Density functional theory data (PBE-GGA) for crystalline Ce2ThAu at its relaxed geometry.

Computed properties:
E_form: -28.7 kJ/mol of atoms
distance to the lowest polymorph of the same formula: 0 kJ/mol of formula units
M_tot: 0.67 μB/cell

a = 3.609 Å, b = 3.609 Å, c = 8.392 Å
α = 90.00°, β = 90.00°, γ = 90.00°
Fractional positions:
Th1 0.500 0.500 0.500
Au1 0.500 0.500 0.000
Ce1 0.000 0.000 0.225
Ce2 0.000 0.000 0.775



- What is the M_tot in the second record?
  0.31 μB/cell



- What is the formula in the first record?
  Ac2In6Pt3



Repeat the first record exactly.
Density functional theory data (PBE-GGA) for crystalline Ac2In6Pt3 at its relaxed geometry.

Computed properties:
E_form: -60.5 kJ/mol of atoms
M_tot: 0.00 μB/cell

a = 4.577 Å, b = 8.411 Å, c = 8.411 Å
α = 120.00°, β = 90.00°, γ = 90.00°
Fractional positions:
Pt1 0.500 0.377 0.377
In1 0.500 0.303 0.000
Pt2 0.500 0.000 0.623
Pt3 0.500 0.623 0.000
In2 0.500 0.000 0.303
In3 0.500 0.697 0.697
In4 0.000 0.202 0.202
In5 0.000 0.000 0.798
Ac1 0.000 0.333 0.667
Ac2 0.000 0.667 0.333
In6 0.000 0.798 0.000



- What is the M_tot in the third record?
  0.00 μB/cell